one) # Be3NbTe GGA-PBE optimized geometry
data_Be3NbTe
_chemical_formula_sum 'Be3 Nb1 Te1'
_space_group_name_H-M_alt 'P m -3 m'
_space_group_IT_number 221
_space_group_name_Hall '-P 4 2 3'
_cell_length_a 4.527
_cell_length_b 4.527
_cell_length_c 4.527
_cell_angle_alpha 90.00
_cell_angle_beta 90.00
_cell_angle_gamma 90.00
loop_
_atom_site_label
_atom_site_type_symbol
_atom_site_fract_x
_atom_site_fract_y
_atom_site_fract_z
_atom_site_occupancy
Be1 Be 0.000 0.000 0.500 1
Nb1 Nb 0.000 0.000 0.000 1
Te1 Te 0.500 0.500 0.500 1
# Volume in Å³/f.u.: 93
# Total moment in μB/f.u.: 0.00

***

two) # Be3NbTe GGA-PBE optimized geometry
data_Be3NbTe
_chemical_formula_sum 'Be3 Nb1 Te1'
_space_group_name_H-M_alt 'P m -3 m'
_space_group_IT_number 221
_space_group_name_Hall '-P 4 2 3'
_cell_length_a 4.492
_cell_length_b 4.492
_cell_length_c 4.492
_cell_angle_alpha 90.00
_cell_angle_beta 90.00
_cell_angle_gamma 90.00
loop_
_atom_site_label
_atom_site_type_symbol
_atom_site_fract_x
_atom_site_fract_y
_atom_site_fract_z
_atom_site_occupancy
Be1 Be 0.000 0.000 0.500 1
Nb1 Nb 0.500 0.500 0.500 1
Te1 Te 0.000 0.000 0.000 1
# Volume in Å³/f.u.: 91
# Total moment in μB/f.u.: 0.00

***

The structure with the most favorable energy is one); the runner-up is 0.234 eV/atom above it.

***

one) # TiBe2Nb GGA-PBE optimized geometry
data_TiBe2Nb
_chemical_formula_sum 'Ti1 Be2 Nb1'
_space_group_name_H-M_alt 'P 4/m m m'
_space_group_IT_number 123
_space_group_name_Hall '-P 4 2'
_cell_length_a 3.055
_cell_length_b 3.055
_cell_length_c 5.602
_cell_angle_alpha 90.00
_cell_angle_beta 90.00
_cell_angle_gamma 90.00
loop_
_atom_site_label
_atom_site_type_symbol
_atom_site_fract_x
_atom_site_fract_y
_atom_site_fract_z
_atom_site_occupancy
Ti1 Ti 0.000 0.000 0.000 1
Be1 Be 0.500 0.500 0.234 1
Nb1 Nb 0.000 0.000 0.500 1
# Volume in Å³/f.u.: 52
# Total moment in μB/f.u.: 0.00

***

two) # TiBe2Nb GGA-PBE optimized geometry
data_TiBe2Nb
_chemical_formula_sum 'Ti4 Be8 Nb4'
_space_group_name_H-M_alt 'I -4 2 d'
_space_group_IT_number 122
_space_group_name_Hall 'I -4 2bw'
_cell_length_a 6.716
_cell_length_b 6.716
_cell_length_c 4.862
_cell_angle_alpha 90.00
_cell_angle_beta 90.00
_cell_angle_gamma 90.00
loop_
_atom_site_label
_atom_site_type_symbol
_atom_site_fract_x
_atom_site_fract_y
_atom_site_fract_z
_atom_site_occupancy
Ti1 Ti 0.000 0.000 0.000 1
Be1 Be 0.246 0.250 0.125 1
Nb1 Nb 0.000 0.000 0.500 1
# Volume in Å³/f.u.: 55
# Total moment in μB/f.u.: 0.00

***

The structure with the most favorable energy is one); the runner-up is 0.384 eV/atom above it.

***

one) # TiBe2Nb GGA-PBE optimized geometry
data_TiBe2Nb
_chemical_formula_sum 'Ti1 Be2 Nb1'
_space_group_name_H-M_alt 'P 4/m m m'
_space_group_IT_number 123
_space_group_name_Hall '-P 4 2'
_cell_length_a 3.884
_cell_length_b 3.884
_cell_length_c 3.480
_cell_angle_alpha 90.00
_cell_angle_beta 90.00
_cell_angle_gamma 90.00
loop_
_atom_site_label
_atom_site_type_symbol
_atom_site_fract_x
_atom_site_fract_y
_atom_site_fract_z
_atom_site_occupancy
Ti1 Ti 0.000 0.000 0.000 1
Be1 Be 0.000 0.500 0.500 1
Nb1 Nb 0.500 0.500 0.000 1
# Volume in Å³/f.u.: 52
# Total moment in μB/f.u.: 0.00

***

two) # TiBe2Nb GGA-PBE optimized geometry
data_TiBe2Nb
_chemical_formula_sum 'Ti4 Be8 Nb4'
_space_group_name_H-M_alt 'F m -3 m'
_space_group_IT_number 225
_space_group_name_Hall '-F 4 2 3'
_cell_length_a 5.937
_cell_length_b 5.937
_cell_length_c 5.937
_cell_angle_alpha 90.00
_cell_angle_beta 90.00
_cell_angle_gamma 90.00
loop_
_atom_site_label
_atom_site_type_symbol
_atom_site_fract_x
_atom_site_fract_y
_atom_site_fract_z
_atom_site_occupancy
Ti1 Ti 0.000 0.000 0.000 1
Be1 Be 0.250 0.250 0.250 1
Nb1 Nb 0.000 0.000 0.500 1
# Volume in Å³/f.u.: 52
# Total moment in μB/f.u.: 0.00

***

The structure with the most favorable energy is one); the runner-up is 0.049 eV/atom above it.

***

one) # Ti3BeNb GGA-PBE optimized geometry
data_Ti3BeNb
_chemical_formula_sum 'Ti3 Be1 Nb1'
_space_group_name_H-M_alt 'P m -3 m'
_space_group_IT_number 221
_space_group_name_Hall '-P 4 2 3'
_cell_length_a 4.392
_cell_length_b 4.392
_cell_length_c 4.392
_cell_angle_alpha 90.00
_cell_angle_beta 90.00
_cell_angle_gamma 90.00
loop_
_atom_site_label
_atom_site_type_symbol
_atom_site_fract_x
_atom_site_fract_y
_atom_site_fract_z
_atom_site_occupancy
Ti1 Ti 0.000 0.000 0.500 1
Be1 Be 0.000 0.000 0.000 1
Nb1 Nb 0.500 0.500 0.500 1
# Volume in Å³/f.u.: 85
# Total moment in μB/f.u.: 1.95

***

two) # Ti3BeNb GGA-PBE optimized geometry
data_Ti3BeNb
_chemical_formula_sum 'Ti3 Be1 Nb1'
_space_group_name_H-M_alt 'P m -3 m'
_space_group_IT_number 221
_space_group_name_Hall '-P 4 2 3'
_cell_length_a 4.742
_cell_length_b 4.742
_cell_length_c 4.742
_cell_angle_alpha 90.00
_cell_angle_beta 90.00
_cell_angle_gamma 90.00
loop_
_atom_site_label
_atom_site_type_symbol
_atom_site_fract_x
_atom_site_fract_y
_atom_site_fract_z
_atom_site_occupancy
Ti1 Ti 0.000 0.000 0.500 1
Be1 Be 0.500 0.500 0.500 1
Nb1 Nb 0.000 0.000 0.000 1
# Volume in Å³/f.u.: 107
# Total moment in μB/f.u.: 0.89

***

The structure with the most favorable energy is one); the runner-up is 0.793 eV/atom above it.

***

one) # TiBe3Nb GGA-PBE optimized geometry
data_TiBe3Nb
_chemical_formula_sum 'Ti4 Be12 Nb4'
_space_group_name_H-M_alt 'C m c m'
_space_group_IT_number 63
_space_group_name_Hall '-C 2c 2'
_cell_length_a 3.010
_cell_length_b 22.258
_cell_length_c 3.655
_cell_angle_alpha 90.00
_cell_angle_beta 90.00
_cell_angle_gamma 90.00
loop_
_atom_site_label
_atom_site_type_symbol
_atom_site_fract_x
_atom_site_fract_y
_atom_site_fract_z
_atom_site_occupancy
Ti1 Ti 0.000 0.210 0.250 1
Be1 Be 0.000 0.331 0.250 1
Be2 Be 0.000 0.381 0.750 1
Be3 Be 0.000 0.476 0.750 1
Nb1 Nb 0.000 0.072 0.750 1
# Volume in Å³/f.u.: 61
# Total moment in μB/f.u.: 0.53

***

two) # TiBe3Nb GGA-PBE optimized geometry
data_TiBe3Nb
_chemical_formula_sum 'Ti1 Be3 Nb1'
_space_group_name_H-M_alt 'P m -3 m'
_space_group_IT_number 221
_space_group_name_Hall '-P 4 2 3'
_cell_length_a 4.286
_cell_length_b 4.286
_cell_length_c 4.286
_cell_angle_alpha 90.00
_cell_angle_beta 90.00
_cell_angle_gamma 90.00
loop_
_atom_site_label
_atom_site_type_symbol
_atom_site_fract_x
_atom_site_fract_y
_atom_site_fract_z
_atom_site_occupancy
Ti1 Ti 0.000 0.000 0.000 1
Be1 Be 0.000 0.500 0.500 1
Nb1 Nb 0.500 0.500 0.500 1
# Volume in Å³/f.u.: 79
# Total moment in μB/f.u.: 0.00

***

The structure with the most favorable energy is one); the runner-up is 1.371 eV/atom above it.

***

one) # BeNbTl2 GGA-PBE optimized geometry
data_BeNbTl2
_chemical_formula_sum 'Be4 Nb4 Tl8'
_space_group_name_H-M_alt 'I -4 2 d'
_space_group_IT_number 122
_space_group_name_Hall 'I -4 2bw'
_cell_length_a 7.439
_cell_length_b 7.439
_cell_length_c 5.726
_cell_angle_alpha 90.00
_cell_angle_beta 90.00
_cell_angle_gamma 90.00
loop_
_atom_site_label
_atom_site_type_symbol
_atom_site_fract_x
_atom_site_fract_y
_atom_site_fract_z
_atom_site_occupancy
Be1 Be 0.000 0.000 0.000 1
Nb1 Nb 0.000 0.000 0.500 1
Tl1 Tl 0.199 0.250 0.125 1
# Volume in Å³/f.u.: 79
# Total moment in μB/f.u.: 0.00

***

two) # BeNbTl2 GGA-PBE optimized geometry
data_BeNbTl2
_chemical_formula_sum 'Be4 Nb4 Tl8'
_space_group_name_H-M_alt 'F m -3 m'
_space_group_IT_number 225
_space_group_name_Hall '-F 4 2 3'
_cell_length_a 6.908
_cell_length_b 6.908
_cell_length_c 6.908
_cell_angle_alpha 90.00
_cell_angle_beta 90.00
_cell_angle_gamma 90.00
loop_
_atom_site_label
_atom_site_type_symbol
_atom_site_fract_x
_atom_site_fract_y
_atom_site_fract_z
_atom_site_occupancy
Be1 Be 0.000 0.000 0.000 1
Nb1 Nb 0.000 0.000 0.500 1
Tl1 Tl 0.250 0.250 0.250 1
# Volume in Å³/f.u.: 82
# Total moment in μB/f.u.: 2.06

***

The structure with the most favorable energy is one); the runner-up is 0.217 eV/atom above it.

***

one) # BeNb3Tl GGA-PBE optimized geometry
data_BeNb3Tl
_chemical_formula_sum 'Be1 Nb3 Tl1'
_space_group_name_H-M_alt 'P m -3 m'
_space_group_IT_number 221
_space_group_name_Hall '-P 4 2 3'
_cell_length_a 4.492
_cell_length_b 4.492
_cell_length_c 4.492
_cell_angle_alpha 90.00
_cell_angle_beta 90.00
_cell_angle_gamma 90.00
loop_
_atom_site_label
_atom_site_type_symbol
_atom_site_fract_x
_atom_site_fract_y
_atom_site_fract_z
_atom_site_occupancy
Be1 Be 0.000 0.000 0.000 1
Nb1 Nb 0.000 0.000 0.500 1
Tl1 Tl 0.500 0.500 0.500 1
# Volume in Å³/f.u.: 91
# Total moment in μB/f.u.: 0.00

***

two) # BeNb3Tl GGA-PBE optimized geometry
data_BeNb3Tl
_chemical_formula_sum 'Be1 Nb3 Tl1'
_space_group_name_H-M_alt 'P m -3 m'
_space_group_IT_number 221
_space_group_name_Hall '-P 4 2 3'
_cell_length_a 5.086
_cell_length_b 5.086
_cell_length_c 5.086
_cell_angle_alpha 90.00
_cell_angle_beta 90.00
_cell_angle_gamma 90.00
loop_
_atom_site_label
_atom_site_type_symbol
_atom_site_fract_x
_atom_site_fract_y
_atom_site_fract_z
_atom_site_occupancy
Be1 Be 0.000 0.000 0.000 1
Nb1 Nb 0.000 0.500 0.500 1
Tl1 Tl 0.500 0.500 0.500 1
# Volume in Å³/f.u.: 132
# Total moment in μB/f.u.: 0.00

***

The structure with the most favorable energy is one); the runner-up is 1.951 eV/atom above it.

***

one) # Be3NbTl GGA-PBE optimized geometry
data_Be3NbTl
_chemical_formula_sum 'Be3 Nb1 Tl1'
_space_group_name_H-M_alt 'P m -3 m'
_space_group_IT_number 221
_space_group_name_Hall '-P 4 2 3'
_cell_length_a 4.570
_cell_length_b 4.570
_cell_length_c 4.570
_cell_angle_alpha 90.00
_cell_angle_beta 90.00
_cell_angle_gamma 90.00
loop_
_atom_site_label
_atom_site_type_symbol
_atom_site_fract_x
_atom_site_fract_y
_atom_site_fract_z
_atom_site_occupancy
Be1 Be 0.000 0.000 0.500 1
Nb1 Nb 0.000 0.000 0.000 1
Tl1 Tl 0.500 0.500 0.500 1
# Volume in Å³/f.u.: 95
# Total moment in μB/f.u.: 0.00

***

two) # Be3NbTl GGA-PBE optimized geometry
data_Be3NbTl
_chemical_formula_sum 'Be3 Nb1 Tl1'
_space_group_name_H-M_alt 'P m -3 m'
_space_group_IT_number 221
_space_group_name_Hall '-P 4 2 3'
_cell_length_a 4.384
_cell_length_b 4.384
_cell_length_c 4.384
_cell_angle_alpha 90.00
_cell_angle_beta 90.00
_cell_angle_gamma 90.00
loop_
_atom_site_label
_atom_site_type_symbol
_atom_site_fract_x
_atom_site_fract_y
_atom_site_fract_z
_atom_site_occupancy
Be1 Be 0.000 0.000 0.500 1
Nb1 Nb 0.500 0.500 0.500 1
Tl1 Tl 0.000 0.000 0.000 1
# Volume in Å³/f.u.: 84
# Total moment in μB/f.u.: 0.00

***

The structure with the most favorable energy is one); the runner-up is 0.039 eV/atom above it.